No. 1
! Pr3Nd2PuS6 | the Alexandria database | PBE | relaxed; values from VASP
! Uncorrected formation energy (meV per atom): -1992
! SG: C2/m (12)
! Raw total energy (Ry/atom): -0.53213
! Volume (Å³ per atom): 23.8
&SYSTEM
  ibrav = 0, nat = 12, ntyp = 4
/
ATOMIC_SPECIES
Pr 140.91 Pr.upf
Nd 144.24 Nd.upf
Pu 244.00 Pu.upf
S 32.06 S.upf
CELL_PARAMETERS angstrom
-2.3791 -2.2862 2.3495
1.4124 -6.4404 -4.8368
7.6600 0.6254 4.8735
ATOMIC_POSITIONS crystal
Pr 0.5000 0.5000 0.0000
Pr 0.8328 0.1648 0.6656
Pr 0.1672 0.8352 0.3344
Nd 0.8351 0.6697 0.6703
Nd 0.1649 0.3303 0.3297
Pu 0.5000 0.0000 0.0000
S 0.3364 0.9162 0.6729
S 0.6680 0.5816 0.3360
S 0.6636 0.0838 0.3271
S 0.9997 0.2411 0.9995
S 0.0003 0.7589 0.0005
S 0.3320 0.4184 0.6640


No. 2
! PrNd3Pu2S6 | the Alexandria database | PBE | relaxed; values from VASP
! Uncorrected formation energy (meV per atom): -1952
! SG: C2/m (12)
! Raw total energy (Ry/atom): -0.58760
! Volume (Å³ per atom): 23.3
&SYSTEM
  ibrav = 0, nat = 12, ntyp = 4
/
ATOMIC_SPECIES
Pr 140.91 Pr.upf
Nd 144.24 Nd.upf
Pu 244.00 Pu.upf
S 32.06 S.upf
CELL_PARAMETERS angstrom
-3.5321 5.6393 -2.1353
-0.2024 -5.8828 -3.7668
-4.0432 -1.9319 5.3916
ATOMIC_POSITIONS crystal
Pr 0.0000 0.0000 0.0000
Nd 0.1643 0.8357 0.5000
Nd 0.8357 0.1643 0.5000
Nd 0.5000 0.5000 0.5000
Pu 0.3330 0.6670 0.0000
Pu 0.6670 0.3330 0.0000
S 0.9182 0.5771 0.7553
S 0.7396 0.7396 0.2429
S 0.0818 0.4229 0.2447
S 0.5771 0.9182 0.7553
S 0.2604 0.2604 0.7571
S 0.4229 0.0818 0.2447